1.
DFT (PBE) results for crystalline Tm4CoAg at its relaxed geometry.

* polymorph energy (0 for the lowest one): 0 meV/atom

a = 9.2691 Å, b = 9.2691 Å, c = 9.2691 Å
α = 60.00°, β = 60.00°, γ = 60.00°
Positions (direct):
1 Tm 0.0444 0.6519 0.6519
2 Tm 0.0624 0.0624 0.4376
3 Tm 0.0624 0.4376 0.0624
4 Tm 0.0624 0.4376 0.4376
5 Tm 0.1880 0.1880 0.8120
6 Tm 0.1880 0.8120 0.1880
7 Tm 0.1880 0.8120 0.8120
8 Tm 0.4376 0.0624 0.0624
9 Tm 0.4376 0.0624 0.4376
10 Tm 0.4376 0.4376 0.0624
11 Tm 0.6519 0.0444 0.6519
12 Tm 0.6519 0.6519 0.0444
13 Tm 0.6519 0.6519 0.6519
14 Tm 0.8120 0.1880 0.1880
15 Tm 0.8120 0.1880 0.8120
16 Tm 0.8120 0.8120 0.1880
17 Co 0.4247 0.8584 0.8584
18 Co 0.8584 0.4247 0.8584
19 Co 0.8584 0.8584 0.4247
20 Co 0.8584 0.8584 0.8584
21 Ag 0.4182 0.4182 0.4182
22 Ag 0.4182 0.4182 0.7455
23 Ag 0.4182 0.7455 0.4182
24 Ag 0.7455 0.4182 0.4182

2.
DFT (PBE) results for crystalline Ca3AcAu2 at its relaxed geometry.

a = 4.2771 Å, b = 10.7351 Å, c = 8.2203 Å
α = 90.00°, β = 90.00°, γ = 90.00°
Positions (direct):
1 Ca 0.0000 0.0686 0.0000
2 Ca 0.0000 0.2857 0.3339
3 Ca 0.0000 0.7143 0.8339
4 Ca 0.0000 0.9314 0.5000
5 Ca 0.5000 0.1870 0.6607
6 Ca 0.5000 0.8130 0.1607
7 Ac 0.5000 0.4415 0.9954
8 Ac 0.5000 0.5585 0.4954
9 Au 0.0000 0.3959 0.7065
10 Au 0.0000 0.6041 0.2065
11 Au 0.5000 0.0846 0.2949
12 Au 0.5000 0.9154 0.7949

3.
DFT (PBE) results for crystalline Sm6Dy2Mg at its relaxed geometry.

* polymorph energy (0 for the lowest one): 48 meV/atom

a = 11.5352 Å, b = 11.5352 Å, c = 6.0683 Å
α = 105.24°, β = 105.24°, γ = 48.36°
Positions (direct):
1 Sm 0.0038 0.1539 0.4262
2 Sm 0.0814 0.5806 0.0808
3 Sm 0.1539 0.0038 0.9262
4 Sm 0.3452 0.4967 0.7660
5 Sm 0.4194 0.9186 0.4192
6 Sm 0.4967 0.3452 0.2660
7 Sm 0.5033 0.6548 0.7340
8 Sm 0.5806 0.0814 0.5808
9 Sm 0.6548 0.5033 0.2340
10 Sm 0.8461 0.9962 0.0738
11 Sm 0.9186 0.4194 0.9192
12 Sm 0.9962 0.8461 0.5738
13 Dy 0.1696 0.3298 0.4506
14 Dy 0.3298 0.1696 0.9506
15 Dy 0.6702 0.8304 0.0494
16 Dy 0.8304 0.6702 0.5494
17 Mg 0.2507 0.7493 0.2500
18 Mg 0.7493 0.2507 0.7500

4.
DFT (PBE) results for crystalline SrCaNbInO6 at its relaxed geometry.

* E_form (uncorrected): -2.46 eV per atom

a = 5.8284 Å, b = 5.8284 Å, c = 5.8284 Å
α = 60.00°, β = 60.00°, γ = 60.00°
Positions (direct):
1 Sr 0.0000 0.0000 0.0000
2 Ca 0.5000 0.5000 0.5000
3 Nb 0.2500 0.2500 0.2500
4 In 0.7500 0.7500 0.7500
5 O 0.0080 0.0080 0.4920
6 O 0.0080 0.4920 0.0080
7 O 0.0080 0.4920 0.4920
8 O 0.4920 0.0080 0.0080
9 O 0.4920 0.0080 0.4920
10 O 0.4920 0.4920 0.0080

5.
DFT (PBE) results for crystalline Pm2Ho3Se6 at its relaxed geometry.

* polymorph energy (0 for the lowest one): 119 meV/atom
* E_form (uncorrected): -1.75 eV per atom

a = 20.2464 Å, b = 20.2464 Å, c = 20.2464 Å
α = 11.81°, β = 11.81°, γ = 11.81°
Positions (direct):
1 Pm 0.0546 0.0546 0.0546
2 Pm 0.9454 0.9454 0.9454
3 Ho 0.2190 0.2190 0.2190
4 Ho 0.5000 0.5000 0.5000
5 Ho 0.7810 0.7810 0.7810
6 Se 0.1402 0.1402 0.1402
7 Se 0.3031 0.3031 0.3031
8 Se 0.4202 0.4202 0.4202
9 Se 0.5798 0.5798 0.5798
10 Se 0.6969 0.6969 0.6969
11 Se 0.8598 0.8598 0.8598

6.
DFT (PBE) results for crystalline SrLa2Tl at its relaxed geometry.

* polymorph energy (0 for the lowest one): 70 meV/atom

a = 6.3872 Å, b = 6.3872 Å, c = 6.3872 Å
α = 133.17°, β = 133.17°, γ = 68.39°
Positions (direct):
1 Sr 0.0000 0.0000 0.0000
2 La 0.2500 0.7500 0.5000
3 La 0.7500 0.2500 0.5000
4 Tl 0.5000 0.5000 0.0000

7.
DFT (PBE) results for crystalline LaMn3Ag at its relaxed geometry.

* polymorph energy (0 for the lowest one): 821 meV/atom

a = 4.7972 Å, b = 4.7972 Å, c = 4.7972 Å
α = 90.00°, β = 90.00°, γ = 90.00°
Positions (direct):
1 La 0.0000 0.0000 0.0000
2 Mn 0.0000 0.0000 0.5000
3 Mn 0.0000 0.5000 0.0000
4 Mn 0.5000 0.0000 0.0000
5 Ag 0.5000 0.5000 0.5000

8.
DFT (PBE) results for crystalline RbTa2Os at its relaxed geometry.

* polymorph energy (0 for the lowest one): 275 meV/atom

a = 9.3345 Å, b = 9.3345 Å, c = 9.3345 Å
α = 145.79°, β = 145.79°, γ = 49.17°
Positions (direct):
1 Rb 0.3750 0.6250 0.7500
2 Rb 0.6250 0.3750 0.2500
3 Ta 0.0000 0.0000 0.0000
4 Ta 0.0000 0.0000 0.5000
5 Ta 0.0000 0.5000 0.0000
6 Ta 0.5000 0.0000 0.5000
7 Os 0.1250 0.8750 0.2500
8 Os 0.8750 0.1250 0.7500

9.
DFT (PBE) results for crystalline CuSn2Hg2 at its relaxed geometry.

* polymorph energy (0 for the lowest one): 288 meV/atom

a = 8.4698 Å, b = 8.4698 Å, c = 8.4698 Å
α = 151.89°, β = 151.89°, γ = 40.18°
Positions (direct):
1 Cu 0.0000 0.0000 0.0000
2 Sn 0.2500 0.7500 0.5000
3 Sn 0.7500 0.2500 0.5000
4 Hg 0.4120 0.4120 0.0000
5 Hg 0.5880 0.5880 0.0000

10.
DFT (PBE) results for crystalline ErTmMgBe at its relaxed geometry.

a = 5.0372 Å, b = 5.0372 Å, c = 5.0372 Å
α = 60.00°, β = 60.00°, γ = 60.00°
Positions (direct):
1 Er 0.0000 0.0000 0.0000
2 Tm 0.5000 0.5000 0.5000
3 Mg 0.2500 0.2500 0.2500
4 Be 0.7500 0.7500 0.7500

11.
DFT (PBE) results for crystalline TbPrPt6 at its relaxed geometry.

a = 5.3658 Å, b = 5.3658 Å, c = 5.3658 Å
α = 90.00°, β = 90.00°, γ = 90.00°
Positions (direct):
1 Tb 0.0000 0.0000 0.0000
2 Pr 0.5000 0.5000 0.5000
3 Pt 0.0000 0.5000 0.2478
4 Pt 0.0000 0.5000 0.7522
5 Pt 0.2478 0.0000 0.5000
6 Pt 0.5000 0.2478 0.0000
7 Pt 0.5000 0.7522 0.0000
8 Pt 0.7522 0.0000 0.5000

12.
DFT (PBE) results for crystalline AcCe4Os4 at its relaxed geometry.

a = 9.1225 Å, b = 9.1225 Å, c = 5.5730 Å
α = 90.00°, β = 90.00°, γ = 90.00°
Positions (direct):
1 Ac 0.2500 0.2500 0.2500
2 Ac 0.7500 0.7500 0.7500
3 Ce 0.0759 0.6504 0.1825
4 Ce 0.1504 0.9241 0.6825
5 Ce 0.3496 0.5759 0.6825
6 Ce 0.4241 0.8496 0.1825
7 Ce 0.5759 0.1504 0.8175
8 Ce 0.6504 0.4241 0.3175
9 Ce 0.8496 0.0759 0.3175
10 Ce 0.9241 0.3496 0.8175
11 Os 0.0551 0.6070 0.6700
12 Os 0.1070 0.9449 0.1700
13 Os 0.3930 0.5551 0.1700
14 Os 0.4449 0.8930 0.6700
15 Os 0.5551 0.1070 0.3300
16 Os 0.6070 0.4449 0.8300
17 Os 0.8930 0.0551 0.8300
18 Os 0.9449 0.3930 0.3300

| no. | uncorrected energy (eV per atom) |
| --- | --- |
| 1 | -4.90 |
| 2 | -3.38 |
| 3 | -4.28 |
| 4 | -7.08 |
| 5 | -5.76 |
| 6 | -3.58 |
| 7 | -5.47 |
| 8 | -7.31 |
| 9 | -2.11 |
| 10 | -3.50 |
| 11 | -6.30 |
| 12 | -8.16 |